Density functional theory data (PBEsol) for a relaxed structure of Ho4GaSbS9.

Unit cell a=13.296 b=13.558 c=13.850 alpha=90.00 beta=90.00 gamma=90.00
Space group Aea2 (No. 41)
One atom of each set of equivalent atoms:
Ho: 0.101 0.173 0.000 x8
Ho: 0.103 0.109 0.547 x8
Ho: 0.185 0.166 0.281 x8
Ho: 0.186 0.391 0.508 x8
Ga: 0.091 0.395 0.772 x8
Sb: 0.113 0.416 0.239 x8
S: 0.000 0.000 0.369 x4
S: 0.000 0.000 0.991 x4
S: 0.013 0.198 0.178 x8
S: 0.068 0.254 0.423 x8
S: 0.083 0.096 0.745 x8
S: 0.100 0.407 0.061 x8
S: 0.192 0.301 0.868 x8
S: 0.197 0.490 0.682 x8
S: 0.243 0.234 0.614 x8
S: 0.247 0.058 0.928 x8

Properties
Calculated total energy ... -6.074 eV per atom
ΔE_f (raw) ... -1.597 eV per atom

Density functional theory data (PBEsol) for a relaxed structure of Ce3Pt4.

Unit cell a=13.3052 b=13.3052 c=5.6553 alpha=90.00 beta=90.00 gamma=120.00
Space group R-3 (No. 148, hexagonal axes)
One atom of each set of equivalent atoms:
Ce: 0.0451 0.8334 0.2388 x18
Pt: 0.0000 0.0000 0.0000 x3
Pt: 0.0000 0.0000 0.5000 x3
Pt: 0.0556 0.7805 0.7212 x18

Properties
Calculated total energy ... -7.795 eV per atom
Formation energy ... -0.99 eV per atom

no.,spin magnetization (μB per atom)
1,0.00
2,0.08